No. 1
Compound: Y2CdCo
Source: Alexandria via LeMat-Bulk
Functional: GGA-PBE
Structure: relaxed

The structure in CIF format:
```
data_Y2CdCo
_space_group_name_H-M_alt 'I -4 2 d'
_space_group_IT_number 122
_space_group_name_Hall 'I -4 2bw'
_cell_length_a 7.9048
_cell_length_b 7.9048
_cell_length_c 6.2009
_cell_angle_alpha 90.00
_cell_angle_beta 90.00
_cell_angle_gamma 90.00
loop_
_atom_site_label
_atom_site_type_symbol
_atom_site_fract_x
_atom_site_fract_y
_atom_site_fract_z
Y1 Y 0.1866 0.2500 0.1250
Cd1 Cd 0.0000 0.0000 0.5000
Co1 Co 0.0000 0.0000 0.0000
```

## Properties
The total energy is -5.10 eV/atom. The spin magnetization is 0.0 μB/cell.



No. 2
Compound: Y2CdCo
Source: Alexandria via LeMat-Bulk
Functional: GGA-PBE
Structure: relaxed

The structure in CIF format:
```
data_Y2CdCo
_space_group_name_H-M_alt 'A m m 2'
_space_group_IT_number 38
_cell_length_a 4.4872
_cell_length_b 3.8324
_cell_length_c 10.9466
_cell_angle_alpha 90.00
_cell_angle_beta 90.00
_cell_angle_gamma 90.00
loop_
_space_group_symop_operation_xyz
'x,y,z'
'-x,-y,z'
'-x,y,z'
'x,-y,z'
'x,y+1/2,z+1/2'
'-x,-y+1/2,z+1/2'
'-x,y+1/2,z+1/2'
'x,-y+1/2,z+1/2'
loop_
_atom_site_label
_atom_site_type_symbol
_atom_site_fract_x
_atom_site_fract_y
_atom_site_fract_z
Y1 Y 0.0000 0.0000 0.0000
Y2 Y 0.5000 0.0000 0.2921
Cd1 Cd 0.5000 0.0000 0.5781
Co1 Co 0.0000 0.0000 0.7258
```

## Properties
The total energy is -5.34 eV/atom. The spin magnetization is 0.4 μB/cell.



No. 3
Compound: YCd2Co
Source: Alexandria via LeMat-Bulk
Functional: GGA-PBE
Structure: relaxed

The structure in CIF format:
```
data_YCd2Co
_space_group_name_H-M_alt 'I -4 m 2'
_space_group_IT_number 119
_space_group_name_Hall 'I -4 -2'
_cell_length_a 4.8548
_cell_length_b 4.8548
_cell_length_c 6.9188
_cell_angle_alpha 90.00
_cell_angle_beta 90.00
_cell_angle_gamma 90.00
loop_
_atom_site_label
_atom_site_type_symbol
_atom_site_fract_x
_atom_site_fract_y
_atom_site_fract_z
Y1 Y 0.0000 0.0000 0.0000
Cd1 Cd 0.0000 0.0000 0.5000
Cd2 Cd 0.0000 0.5000 0.2500
Co1 Co 0.0000 0.5000 0.7500
```

## Properties
The total energy is -3.84 eV/atom. The spin magnetization is 2.6 μB/cell.